# 1
## TaReRu2 (SCAN)

Data for a crystal of TaReRu2 relaxed with PBEsol.

a b c (Å): 3.0789 4.3778 5.1738
angles (deg): 115.03 107.31 90.00
With the nearest neighbours (Å) after each atom.
Sites, in units of the cell vectors:
Ru1 0.0085 0.0085 0.0170  4 Ta 2.68, 2 Re 2.72, 4 Ru 2.89-2.95
Ru2 0.2323 0.7323 0.4645  2 Ta 2.58, 4 Re 2.69, 2 Ru 2.89
Re1 0.7610 0.2610 0.5220  2 Ta 2.60, 6 Ru 2.69-2.72
Ta1 0.4983 0.4983 0.9965  6 Ru 2.58-2.68, 2 Re 2.60

Calculated values
space group = Imm2
distance to the lowest polymorph of the same formula = 0.14 eV/f.u.
magnetic moment = 0.00 μB/f.u.

---

# 2
## Ba3EuB9O18 (SCAN)

Data for a crystal of Ba3EuB9O18 relaxed with PBEsol.

a b c (Å): 7.2165 7.2165 16.9533
angles (deg): 90.00 90.00 120.00
With the nearest neighbours (Å) after each atom.
Sites, in units of the cell vectors:
O1 0.7502 0.7490 0.9140  1 B 1.33
O2 0.1667 0.4570 0.7500  2 B 1.41
O3 0.4141 0.3310 0.7500  1 B 1.33
O4 0.6690 0.0831 0.7500  1 B 1.33
O5 0.2498 0.2510 0.4140  1 B 1.33
O6 0.6223 0.4993 0.0837  2 B 1.40-1.41
O7 0.7490 0.9989 0.0860  1 B 1.33
O8 0.6223 0.4993 0.4163  2 B 1.40-1.41
O9 0.5859 0.6690 0.2500  1 B 1.33
O10 0.0011 0.7502 0.0860  1 B 1.33
O11 0.9989 0.2498 0.5860  1 B 1.33
O12 0.3777 0.5007 0.9163  2 B 1.40-1.41
O13 0.9169 0.5859 0.7500  1 B 1.33
O14 0.7490 0.9989 0.4140  1 B 1.33
O15 0.1230 0.6223 0.9163  2 B 1.40-1.41
O16 0.3777 0.5007 0.5837  2 B 1.40-1.41
O17 0.7502 0.7490 0.5860  1 B 1.33
O18 0.4993 0.8770 0.9163  2 B 1.40-1.41
O19 0.8770 0.3777 0.0837  2 B 1.40-1.41
O20 0.4993 0.8770 0.5837  2 B 1.40-1.41
O21 0.8770 0.3777 0.4163  2 B 1.40-1.41
O22 0.7097 0.1667 0.2500  2 B 1.41
O23 0.2903 0.8333 0.7500  2 B 1.41
O24 0.3310 0.9169 0.2500  1 B 1.33
O25 0.0831 0.4141 0.2500  1 B 1.33
O26 0.4570 0.2903 0.2500  2 B 1.41
O27 0.2498 0.2510 0.0860  1 B 1.33
O28 0.2510 0.0011 0.5860  1 B 1.33
O29 0.2510 0.0011 0.9140  1 B 1.33
O30 0.9989 0.2498 0.9140  1 B 1.33
O31 0.5007 0.1230 0.0837  2 B 1.40-1.41
O32 0.8333 0.5430 0.2500  2 B 1.41
O33 0.5430 0.7097 0.7500  2 B 1.41
O34 0.1230 0.6223 0.5837  2 B 1.40-1.41
O35 0.0011 0.7502 0.4140  1 B 1.33
O36 0.5007 0.1230 0.4163  2 B 1.40-1.41
B1 0.1159 0.6213 0.7500  3 O 1.33-1.41
B2 0.1626 0.4499 0.9149  3 O 1.33-1.41
B3 0.7128 0.1626 0.4149  3 O 1.33-1.41
B4 0.5501 0.7128 0.9149  3 O 1.33-1.41
B5 0.3787 0.4945 0.7500  3 O 1.33-1.41
B6 0.8374 0.5501 0.4149  3 O 1.33-1.41
B7 0.8374 0.5501 0.0851  3 O 1.33-1.41
B8 0.2872 0.8374 0.9149  3 O 1.33-1.41
B9 0.8841 0.3787 0.2500  3 O 1.33-1.41
B10 0.7128 0.1626 0.0851  3 O 1.33-1.41
B11 0.4499 0.2872 0.4149  3 O 1.33-1.41
B12 0.6213 0.5055 0.2500  3 O 1.33-1.41
B13 0.5501 0.7128 0.5851  3 O 1.33-1.41
B14 0.4499 0.2872 0.0851  3 O 1.33-1.41
B15 0.2872 0.8374 0.5851  3 O 1.33-1.41
B16 0.1626 0.4499 0.5851  3 O 1.33-1.41
B17 0.5055 0.8841 0.7500  3 O 1.33-1.41
B18 0.4945 0.1159 0.2500  3 O 1.33-1.41
Eu1 0.0000 0.0000 0.0000  6 O 2.32
Eu2 0.0000 0.0000 0.5000  6 O 2.32
Ba1 0.6667 0.3333 0.6319  9 O 2.70-3.00
Ba2 0.6667 0.3333 0.8681  9 O 2.70-3.00
Ba3 0.0000 0.0000 0.7500  6 O 2.74-2.89
Ba4 0.0000 0.0000 0.2500  6 O 2.74-2.89
Ba5 0.3333 0.6667 0.1319  9 O 2.70-3.00
Ba6 0.3333 0.6667 0.3681  9 O 2.70-3.00

Calculated values
space group = P6_3/m
magnetic moment = 6.00 μB/f.u.
formation energy (no corrections) = -66.3 kcal/mol of atoms

---

# 3
## Tc2SbW (SCAN)

Data for a crystal of Tc2SbW relaxed with PBEsol.

a b c (Å): 3.0160 3.0160 6.9797
angles (deg): 90.00 90.00 90.00
With the nearest neighbours (Å) after each atom.
Sites, in units of the cell vectors:
W1 0.0000 0.0000 0.4832  4 Tc 2.71, 4 Sb 2.87, 4 W 3.02
Sb1 0.5000 0.5000 0.7583  4 Tc 2.78, 4 W 2.87, 4 Sb 3.02
Tc1 0.5000 0.5000 0.2439  4 Tc 2.67, 4 W 2.71
Tc2 0.0000 0.0000 0.0146  4 Tc 2.67, 4 Sb 2.78

Calculated values
space group = P4mm
magnetic moment = 0.00 μB/f.u.
formation energy (no corrections) = 8.4 kcal/mol of atoms

---

# 4
## Li4P2O7 (SCAN)

Data for a crystal of Li4P2O7 relaxed with PBEsol.

a b c (Å): 5.1857 7.1001 8.5294
angles (deg): 76.82 90.00 68.99
With the nearest neighbours (Å) after each atom.
Sites, in units of the cell vectors:
O1 0.8829 0.8490 0.9833  1 P 1.53
O2 0.3386 0.7029 0.2355  1 P 1.54
O3 0.6804 0.2748 0.4697  1 P 1.51
O4 0.3196 0.7252 0.5303  1 P 1.51
O5 0.1171 0.1510 0.0167  1 P 1.53
O6 0.5167 0.7398 0.8755  1 P 1.51
O7 0.7379 0.7436 0.3768  1 P 1.52
O8 0.2621 0.2564 0.6232  1 P 1.52
O9 0.4833 0.2602 0.1245  1 P 1.51
O10 0.0089 0.6006 0.7932  1 P 1.53
O11 0.9911 0.3994 0.2068  1 P 1.53
O12 0.6614 0.2971 0.7645  1 P 1.54
O13 0.2652 0.0386 0.3186  2 P 1.64
O14 0.7348 0.9614 0.6814  2 P 1.64
P1 0.4289 0.7852 0.3696  4 O 1.51-1.64
P2 0.2155 0.2229 0.1537  4 O 1.51-1.64
P3 0.7845 0.7771 0.8463  4 O 1.51-1.64
P4 0.5711 0.2148 0.6304  4 O 1.51-1.64
Li1 0.9738 0.6738 0.2093  4 O 1.92-1.99
Li2 0.0524 0.2457 0.4492  4 O 1.87-2.07
Li3 0.7457 0.1436 0.9892  4 O 1.87-1.97
Li4 0.2543 0.8564 0.0108  4 O 1.87-1.97
Li5 0.6043 0.4157 0.2437  4 O 1.91-2.00
Li6 0.3957 0.5843 0.7563  4 O 1.91-2.00
Li7 0.9476 0.7543 0.5508  4 O 1.87-2.07
Li8 0.0262 0.3262 0.7907  4 O 1.92-1.99

Calculated values
space group = P-1
magnetic moment = 0.00 μB/f.u.
formation energy (no corrections) = -60.0 kcal/mol of atoms